Entry 1:
The following is a PBE calculation of a relaxed InIr2Br crystal, from Alexandria via LeMat-Bulk.

Geometry as extended XYZ:
```
4
Lattice="1.444 -2.613 0.000 1.444 2.613 0.000 0.000 0.000 10.206" Properties=species:S:1:pos:R:3 pbc="T T T"
In 0.000 0.000 0.000
Ir 0.000 0.000 5.542
Ir 1.444 0.000 7.743
Br 1.444 0.000 3.344
```

Computed properties:
Formation energy from raw total energies = 2.51 eV/f.u.

***

Entry 2:
The following is a PBE calculation of a relaxed TbAgPtO4 crystal, from Alexandria via LeMat-Bulk.

Geometry as extended XYZ:
```
14
Lattice="-3.216 3.523 4.531 3.216 -3.523 4.531 3.216 3.523 -4.531" Properties=species:S:1:pos:R:3 pbc="T T T"
Tb 0.000 0.000 0.000
Tb 0.000 3.523 0.000
Ag 3.216 1.762 1.217
Ag 0.000 1.762 3.315
Pt 1.608 1.762 -2.266
Pt 1.608 -1.762 2.266
O 3.216 -0.438 2.241
O 3.216 3.086 -2.241
O 1.427 1.762 -0.194
O 1.790 -1.762 4.337
O 1.427 5.285 0.194
O 1.790 1.762 4.726
O 0.000 0.438 6.773
O 0.000 3.961 2.290
```

Computed properties:
Formation energy from raw total energies = -10.00 eV/f.u.

***

Entry 3:
The following is a PBE calculation of a relaxed Zr5MnTc4 crystal, from Alexandria via LeMat-Bulk.

Geometry as extended XYZ:
```
10
Lattice="3.303 0.000 0.000 0.000 3.303 0.000 0.000 0.000 16.359" Properties=species:S:1:pos:R:3 pbc="T T T"
Zr 0.000 0.000 0.000
Zr 0.000 0.000 3.279
Zr 0.000 0.000 6.526
Zr 0.000 0.000 9.833
Zr 0.000 0.000 13.080
Mn 1.652 1.652 8.179
Tc 1.652 1.652 1.647
Tc 1.652 1.652 4.971
Tc 1.652 1.652 11.388
Tc 1.652 1.652 14.712
```

Computed properties:
Formation energy = -0.293 eV/atom

***

Entry 4:
The following is a PBE calculation of a relaxed NaInPd2 crystal, from Alexandria via LeMat-Bulk.

Geometry as extended XYZ:
```
4
Lattice="-1.441 2.588 5.422 1.441 -2.588 5.422 1.441 2.588 -5.422" Properties=species:S:1:pos:R:3 pbc="T T T"
Na 0.000 0.000 0.000
In 0.000 0.000 5.422
Pd 0.000 0.000 2.823
Pd 0.000 0.000 8.021
```

Computed properties:
Formation energy = 0.128 eV/atom

***

Number 1: energy -4.9053 eV/atom, magnetic moment 0.00 μB/cell. Number 2: energy -6.1939 eV/atom, magnetic moment 0.00 μB/cell. Number 3: energy -9.6303 eV/atom, magnetic moment 2.17 μB/cell. Number 4: energy -3.4828 eV/atom, magnetic moment 0.00 μB/cell.